No. 1
## Li4Ti3V2Co3O16 (GGA+U)

Data for a relaxed structure of Li4Ti3V2Co3O16.

Cell: 5.8910 5.9093 9.6683 Å, 89.42 89.86 60.55°
Closest atoms and distances in Å follow each position.
Space group P1 (No. 1)
Inequivalent atoms, fractional coordinates:
1 Li 0.0000 0.0000 0.0000 (multiplicity 1)  4 O 1.85-2.04
2 Li 0.0007 0.0334 0.4877 (multiplicity 1)  2 O 1.86-2.00
3 Li 0.3342 0.3430 0.9119 (multiplicity 1)  4 O 1.95-2.00
4 Li 0.6602 0.6530 0.4105 (multiplicity 1)  4 O 1.95-1.99
5 Ti 0.6324 0.1458 0.2394 (multiplicity 1)  4 O 1.80-1.95
6 Ti 0.7850 0.8824 0.7203 (multiplicity 1)  4 O 1.82-1.95
7 Ti 0.8309 0.3644 0.7333 (multiplicity 1)  4 O 1.88-1.95
8 V 0.2818 0.3854 0.4944 (multiplicity 1)  4 O 1.76-1.95
9 V 0.6695 0.6620 0.0056 (multiplicity 1)  3 O 1.76-1.81
10 Co 0.1629 0.1711 0.2095 (multiplicity 1)  4 O 1.93-2.04
11 Co 0.1780 0.6537 0.2144 (multiplicity 1)  6 O 1.98-2.21
12 Co 0.3418 0.8376 0.7148 (multiplicity 1)  6 O 2.00-2.14
13 O 0.0384 0.4860 0.3655 (multiplicity 1)  1 V 1.77
14 O 0.1648 0.6735 0.5902 (multiplicity 1)  1 V 1.76
15 O 0.1722 0.1932 0.5980 (multiplicity 1)  1 V 1.85, 1 Li 2.00
16 O 0.3492 0.3202 0.1132 (multiplicity 1)  1 Ti 1.90, 2 Co 1.94-1.98, 1 Li 1.95
17 O 0.3581 0.8097 0.0816 (multiplicity 1)  1 V 1.76
18 O 0.4717 0.0110 0.3431 (multiplicity 1)  1 Ti 1.80, 1 Li 1.95
19 O 0.4979 0.4435 0.3617 (multiplicity 1)  1 Ti 1.95, 1 V 1.95, 1 Li 1.96
20 O 0.5269 0.9738 0.8481 (multiplicity 1)  1 Ti 1.82, 1 Li 2.00
21 O 0.5392 0.5128 0.8499 (multiplicity 1)  1 Ti 1.88, 1 Li 2.00, 1 V 2.08
22 O 0.6620 0.1803 0.6048 (multiplicity 1)  1 Ti 1.89, 1 Li 2.08
23 O 0.6888 0.6657 0.6110 (multiplicity 1)  2 Ti 1.94-1.95, 1 Li 1.95, 1 Co 2.05
24 O 0.8146 0.8329 0.0904 (multiplicity 1)  1 V 1.81, 1 Li 1.99
25 O 0.8380 0.3547 0.0917 (multiplicity 1)  1 V 1.78
26 O 0.9664 0.5310 0.8425 (multiplicity 1)  1 Ti 1.88, 1 Li 2.00
27 O 0.9877 0.0046 0.2973 (multiplicity 1)  1 Li 1.86, 1 Ti 1.92, 2 Co 1.93-1.99
28 O 0.9940 0.0116 0.8084 (multiplicity 1)  1 Li 1.85, 2 Ti 1.94-1.95, 1 Co 2.00

Calculated values
magnetic moment = 7.0 μB/f.u.
total energy = -7.129 eV/atom

---

No. 2
## Li4Ti3Co3W2O16 (GGA+U)

Data for a relaxed structure of Li4Ti3Co3W2O16.

Cell: 5.9627 6.0110 9.8287 Å, 88.64 89.31 60.59°
Closest atoms and distances in Å follow each position.
Space group P1 (No. 1)
Inequivalent atoms, fractional coordinates:
1 Li 0.0000 0.0000 0.0000 (multiplicity 1)  2 O 1.84-2.02
2 Li 0.0043 0.9921 0.5121 (multiplicity 1)  4 O 1.88-2.04
3 Li 0.3201 0.3369 0.4275 (multiplicity 1)  4 O 1.97-2.09
4 Li 0.6534 0.6758 0.9192 (multiplicity 1)  4 O 1.93-2.04
5 Ti 0.1457 0.6435 0.7403 (multiplicity 1)  5 O 1.89-2.10
6 Ti 0.3355 0.7930 0.2288 (multiplicity 1)  4 O 1.88-1.96
7 Ti 0.8042 0.8479 0.2381 (multiplicity 1)  5 O 1.88-2.00
8 Co 0.1768 0.1632 0.7257 (multiplicity 1)  5 O 1.99-2.21
9 Co 0.6681 0.1627 0.7261 (multiplicity 1)  5 O 2.00-2.22
10 Co 0.8368 0.3369 0.2256 (multiplicity 1)  6 O 2.07-2.17
11 W 0.3415 0.3122 0.9997 (multiplicity 1)  5 O 1.95-2.09
12 W 0.6661 0.6542 0.5075 (multiplicity 1)  4 O 1.88-2.07
13 O 0.0113 0.9818 0.3215 (multiplicity 1)  1 Li 1.88, 2 Ti 1.93-1.97, 1 Co 2.07
14 O 0.0181 0.9720 0.8140 (multiplicity 1)  1 Li 1.84, 1 Ti 1.89, 2 Co 1.99-2.02
15 O 0.0247 0.4878 0.8694 (multiplicity 1)  1 Ti 1.90, 1 Li 1.99, 1 W 2.09
16 O 0.1721 0.6598 0.1210 (multiplicity 1)  1 Ti 1.88
17 O 0.1790 0.1561 0.1103 (multiplicity 1)  1 W 1.95, 1 Li 2.06, 1 Co 2.11
18 O 0.3326 0.3566 0.6269 (multiplicity 1)  1 Ti 1.91, 1 Li 1.97, 2 Co 2.00-2.04
19 O 0.3512 0.8156 0.6011 (multiplicity 1)  1 W 1.88, 1 Li 2.00
20 O 0.4579 0.4945 0.8766 (multiplicity 1)  1 W 1.95, 1 Li 2.00, 1 Ti 2.10
21 O 0.4836 0.0337 0.8665 (multiplicity 1)  1 Li 1.93, 1 W 1.98, 2 Co 2.11-2.12
22 O 0.5032 0.5246 0.3572 (multiplicity 1)  1 Ti 1.88, 1 Li 2.02
23 O 0.5181 0.9656 0.3552 (multiplicity 1)  1 Ti 1.88, 1 Li 2.09
24 O 0.6537 0.6922 0.1267 (multiplicity 1)  2 Ti 1.94-1.96, 1 Li 2.04, 1 Co 2.08
25 O 0.6747 0.1494 0.1132 (multiplicity 1)  1 Ti 1.98, 1 Li 2.02, 1 W 2.06, 1 Co 2.14
26 O 0.8481 0.3199 0.5999 (multiplicity 1)  1 Li 1.94, 1 W 1.96, 2 Co 2.11-2.12
27 O 0.8514 0.7982 0.6137 (multiplicity 1)  1 Ti 1.97, 1 W 2.02, 1 Li 2.04
28 O 0.9492 0.5375 0.3599 (multiplicity 1)  1 Ti 2.00, 1 Li 2.04, 1 W 2.07, 1 Co 2.13

Calculated values
magnetic moment = 11.0 μB/f.u.
total energy = -7.179 eV/atom

---

No. 3
## Li2TlCoO4 (GGA+U)

Data for a relaxed structure of Li2TlCoO4.

Cell: 4.8605 4.8605 8.4492 Å, 90.00 90.00 90.00°
Closest atoms and distances in Å follow each position.
Space group I-42m (No. 121)
Inequivalent atoms, fractional coordinates:
1 Li 0.0000 0.5000 0.2500 (multiplicity 4)  4 O 2.01
2 Tl 0.0000 0.0000 0.0000 (multiplicity 2)  4 O 2.19
3 Co 0.0000 0.0000 0.5000 (multiplicity 2)  4 O 1.87
4 O 0.2221 0.2221 0.3720 (multiplicity 8)  1 Co 1.87, 2 Li 2.01

Calculated values
magnetic moment = 4.0 μB/f.u.
total energy = -5.143 eV/atom

---

No. 4
## LiU2CoO8 (GGA+U)

Data for a relaxed structure of LiU2CoO8.

Cell: 5.1496 5.1496 10.5001 Å, 90.00 90.00 90.00°
Closest atoms and distances in Å follow each position.
Space group I-4 (No. 82)
Inequivalent atoms, fractional coordinates:
1 Li 0.0000 0.0000 0.0000 (multiplicity 2)  4 O 2.06
2 U 0.0000 0.0000 0.5000 (multiplicity 2)  8 O 2.12-2.33
3 U 0.0000 0.5000 0.7500 (multiplicity 2)  8 O 2.21-2.22
4 Co 0.0000 0.5000 0.2500 (multiplicity 2)  4 O 1.88
5 O 0.1889 0.2413 0.3365 (multiplicity 8)  1 Co 1.88
6 O 0.1954 0.7037 0.9086 (multiplicity 8)  1 Li 2.06, 2 U 2.12-2.21

Calculated values
magnetic moment = 4.0 μB/f.u.
total energy = -8.200 eV/atom

---

No. 5
## LiUCoO6 (GGA+U)

Data for a relaxed structure of LiUCoO6.

Cell: 4.6909 4.6909 9.2312 Å, 90.00 90.00 90.00°
Closest atoms and distances in Å follow each position.
Space group P4_2nm (No. 102)
Inequivalent atoms, fractional coordinates:
1 Li 0.0000 0.0000 0.0000 (multiplicity 2)  6 O 2.07-2.18
2 U 0.0000 0.0000 0.3354 (multiplicity 2)  6 O 2.05-2.09
3 Co 0.0000 0.0000 0.6694 (multiplicity 2)  6 O 1.85-1.91
4 O 0.1864 0.1864 0.5176 (multiplicity 4)  1 Co 1.87, 1 Li 2.09, 1 U 2.09
5 O 0.1920 0.1920 0.8231 (multiplicity 4)  1 Co 1.91, 1 U 2.05, 1 Li 2.07
6 O 0.2210 0.2210 0.1752 (multiplicity 4)  1 Co 1.85

Calculated values
magnetic moment = 2.0 μB/f.u.
total energy = -7.136 eV/atom
DOS at the Fermi energy = 6.85 states/eV/cell

---

No. 6
## Li3V3CoO8 (GGA+U)

Data for a relaxed structure of Li3V3CoO8.

Cell: 5.8402 5.8402 14.7336 Å, 90.00 90.00 120.00°
Closest atoms and distances in Å follow each position.
Space group R-3m (No. 166, hexagonal axes)
Inequivalent atoms, fractional coordinates:
1 Li 0.0000 0.5000 0.0000 (multiplicity 9)  6 O 2.14-2.16
2 V 0.0000 0.5000 0.5000 (multiplicity 9)  6 O 2.02-2.03
3 Co 0.0000 0.0000 0.5000 (multiplicity 3)  6 O 1.94
4 O 0.0000 0.0000 0.2437 (multiplicity 6)  3 V 2.03, 3 Li 2.14
5 O 0.0114 0.5057 0.2388 (multiplicity 18)  1 Co 1.94, 2 V 2.02, 2 Li 2.16

Calculated values
magnetic moment = 5.0 μB/f.u.
total energy = -6.741 eV/atom
DOS at the Fermi energy = 8.19 states/eV/cell

---

> Which of these has the lowest magnetic moment?

LiUCoO6

---

> What is the magnetic moment in the third record?

4.0 μB/f.u.